The following is a GGA-PBEsol calculation of a relaxed structure of Ca5Ga6O14, from the Alexandria database.

Summary:
M_tot: 0.0 μB/f.u.
raw formation energy: -2.397 eV/atom
Fermi-level density of states: 0.0 states/eV per cell

Lattice parameters (Å, degrees): 8.0358 8.0358 10.4599 90.00 90.00 91.11
Fractional positions:
O1 0.8080 0.0598 0.6202
O2 0.2354 0.7077 0.9058
O3 0.3901 0.3901 0.9246
O4 0.4980 0.7483 0.1331
O5 0.5114 0.1898 0.1633
O6 0.5020 0.2517 0.6331
O7 0.2994 0.2994 0.3831
O8 0.1898 0.5114 0.1633
O9 0.7077 0.2354 0.9058
O10 0.6099 0.6099 0.4246
O11 0.0086 0.4353 0.9144
O12 0.7646 0.2923 0.4058
O13 0.4353 0.0086 0.9144
O14 0.9402 0.1920 0.1202
O15 0.9878 0.9878 0.8598
O16 0.1920 0.9402 0.1202
O17 0.7006 0.7006 0.8831
O18 0.4886 0.8102 0.6633
O19 0.0598 0.8080 0.6202
O20 0.1470 0.1470 0.6212
O21 0.5647 0.9914 0.4144
O22 0.2923 0.7646 0.4058
O23 0.0122 0.0122 0.3598
O24 0.8530 0.8530 0.1212
O25 0.2517 0.5020 0.6331
O26 0.7483 0.4980 0.1331
O27 0.9914 0.5647 0.4144
O28 0.8102 0.4886 0.6633
Ga1 0.3529 0.8411 0.0215
Ga2 0.7883 0.5014 0.4902
Ga3 0.6990 0.6990 0.0571
Ga4 0.9993 0.9993 0.0320
Ga5 0.4986 0.2117 0.9902
Ga6 0.8411 0.3529 0.0215
Ga7 0.6471 0.1589 0.5215
Ga8 0.1589 0.6471 0.5215
Ga9 0.0007 0.0007 0.5320
Ga10 0.3010 0.3010 0.5571
Ga11 0.5014 0.7883 0.4902
Ga12 0.2117 0.4986 0.9902
Ca1 0.0417 0.3269 0.2983
Ca2 0.3269 0.0417 0.2983
Ca3 0.4722 0.4722 0.2522
Ca4 0.9583 0.6731 0.7983
Ca5 0.9412 0.2584 0.7500
Ca6 0.0588 0.7416 0.2500
Ca7 0.6731 0.9583 0.7983
Ca8 0.5278 0.5278 0.7522
Ca9 0.2584 0.9412 0.7500
Ca10 0.7416 0.0588 0.2500